[1]
Entry from Alexandria via LeMat-Bulk: a relaxed structure of Mg3Rh2 (PBE).

```
10
Lattice="4.4603 0.0000 0.0000 -2.2302 3.8643 0.0000 0.0000 0.0000 9.7170" Properties=species:S:1:pos:R:3 pbc="T T T"
Mg 1.1151 1.9359 7.2877
Mg -1.1151 3.2197 0.8072
Mg 3.3453 0.6446 5.6657
Rh 1.1151 1.9322 4.8585
Rh 1.1151 1.9322 0.0000
Mg -1.1151 3.2197 4.0512
Rh 3.3453 0.6394 2.4292
Mg 1.1151 1.9285 2.4292
Mg 3.3453 0.6446 8.9097
Rh -1.1151 3.2249 7.2877
```

Symmetry = No. 194
DFT formation energy = -0.319 eV/atom


[2]
Entry from Alexandria via LeMat-Bulk: a relaxed structure of Mg5Rh (PBE).

```
6
Lattice="1.5553 -7.9969 0.0000 1.5553 7.9969 0.0000 0.0000 0.0000 4.7813" Properties=species:S:1:pos:R:3 pbc="T T T"
Mg 1.5553 2.6207 0.0000
Mg 1.5553 7.8842 0.0000
Mg 1.5553 0.5035 2.3906
Rh 1.5553 6.2443 2.3906
Mg 1.5553 -4.0910 2.3906
Mg 1.5553 -2.4992 0.0000
```

ΔE to the lowest computed polymorph = 58 meV per atom
Symmetry = No. 38
DFT formation energy = -0.163 eV/atom


[3]
Entry from Alexandria via LeMat-Bulk: a relaxed structure of Mg5Rh3 (PBE).

```
8
Lattice="5.5035 -0.0853 0.0000 -1.4290 5.3155 0.0000 0.0000 0.0000 4.4462" Properties=species:S:1:pos:R:3 pbc="T T T"
Mg 2.7518 -0.0427 0.0000
Mg 0.0000 0.0000 0.0000
Rh 3.9136 1.1533 2.2231
Mg 2.9225 3.7514 2.2231
Mg -0.7145 2.6577 0.0000
Rh 0.1609 4.0768 2.2231
Rh 2.0373 2.6151 0.0000
Mg 1.1520 1.4788 2.2231
```

ΔE to the lowest computed polymorph = 5 meV per atom
Symmetry = No. 65
DFT formation energy = -0.419 eV/atom


[4]
Entry from Alexandria via LeMat-Bulk: a relaxed structure of Mg6Rh5 (PBE).

```
11
Lattice="-1.6347 0.0193 -4.0796 -2.2585 -5.7835 0.8780 -3.6671 5.4177 3.8623" Properties=species:S:1:pos:R:3 pbc="T T T"
Rh -3.7921 -2.0486 -0.8574
Mg -5.1612 0.2475 -0.2984
Mg -4.0162 3.1786 -0.7426
Mg -2.3992 -0.5940 0.9591
Mg -2.5243 -4.3605 -1.3773
Mg -1.3689 -1.4038 -1.8243
Rh -4.8301 -1.2202 1.9299
Rh -2.7303 0.8736 -1.2692
Rh -1.1293 -2.8918 0.4390
Rh -3.7683 1.7020 1.5180
Mg -3.5441 -3.5252 1.4033
```

Symmetry = No. 71
DFT formation energy = -0.423 eV/atom


[5]
Entry from Alexandria via LeMat-Bulk: a relaxed structure of Mg2Rh (PBE).

```
6
Lattice="1.5230 4.9649 0.0519 -1.5230 4.9649 0.0519 0.0000 2.8800 7.0734" Properties=species:S:1:pos:R:3 pbc="T T T"
Rh 0.0000 4.4968 6.3071
Mg 0.0000 7.2332 5.8185
Rh 0.0000 8.3130 0.8700
Mg 0.0000 10.0069 4.2871
Mg 0.0000 5.5767 1.3587
Mg 0.0000 2.8029 2.8901
```

Symmetry = No. 12
DFT formation energy = -0.291 eV/atom


[6]
Entry from Alexandria via LeMat-Bulk: a relaxed structure of Mg2Rh (PBE).

```
3
Lattice="-3.1376 -0.7581 2.9699 -1.4195 -4.0916 0.6950 0.9797 -2.0541 3.7497" Properties=species:S:1:pos:R:3 pbc="T T T"
Mg -0.8944 -1.7259 1.8537
Mg -2.6831 -5.1778 5.5610
Rh 0.0000 0.0000 0.0000
```

Symmetry = No. 225
DFT formation energy = -0.213 eV/atom


[7]
Entry from Alexandria via LeMat-Bulk: a relaxed structure of Mg5Rh3 (PBE).

```
8
Lattice="4.2231 0.6047 -1.4363 -1.0719 4.1293 -1.4363 0.0308 0.0463 7.1755" Properties=species:S:1:pos:R:3 pbc="T T T"
Mg -0.0985 2.7218 0.8446
Rh 1.5756 2.3670 -1.4363
Mg 2.5490 0.9595 0.8446
Rh 0.7962 1.1961 2.8446
Rh 2.3858 3.5842 1.4583
Mg 0.6330 3.8208 3.4582
Mg 0.0000 0.0000 0.0000
Mg 3.2805 2.0585 3.4582
```

ΔE to the lowest computed polymorph = 0 meV per atom
Symmetry = No. 69
DFT formation energy = -0.424 eV/atom


[8]
Entry from Alexandria via LeMat-Bulk: a relaxed structure of Mg6Rh7 (PBE).

```
13
Lattice="-7.6004 4.2499 3.8404 -6.4171 0.2158 7.0249 -3.7153 4.7317 7.3745" Properties=species:S:1:pos:R:3 pbc="T T T"
Mg -0.9533 0.4945 0.9806
Mg -14.9673 7.7630 15.3952
Rh -9.1272 6.1622 11.1975
Mg -2.7655 1.4344 2.8446
Rh -7.2298 5.3349 7.2203
Mg -16.7795 8.7029 17.2592
Mg -5.9601 3.0913 6.1305
Rh -10.5031 3.8625 11.0195
Rh -11.1057 5.9169 9.3977
Rh -8.8664 4.5987 9.1199
Rh -8.6056 3.0351 7.0423
Mg -11.7727 6.1061 12.1093
Rh -6.6272 3.2805 8.8420
```

Symmetry = No. 166
DFT formation energy = -0.295 eV/atom


[9]
Entry from Alexandria via LeMat-Bulk: a relaxed structure of Mg2Rh (PBE).

```
24
Lattice="-8.0204 -0.1130 -2.6330 -1.7290 -0.5795 -8.2430 -3.3162 -7.1056 -3.1281" Properties=species:S:1:pos:R:3 pbc="T T T"
Mg -6.9648 -4.9197 -4.2255
Mg -0.8645 -0.2898 -4.1215
Mg -1.6581 -3.5528 -1.5640
Mg -6.1007 -2.8784 -9.7785
Mg -7.0605 -6.8246 -6.6857
Rh -4.1378 -2.9587 -7.5705
Mg -10.2312 -6.8692 -7.7266
Mg -2.5226 -3.8426 -5.6855
Mg -11.2766 -7.2197 -12.7109
Mg -3.7941 -4.8751 -3.1846
Mg -6.5328 -3.8991 -7.0020
Mg -5.0553 -2.5280 -4.7942
Rh -5.3333 -5.5201 -8.6981
Mg -2.8344 -0.9289 -6.2775
Rh -2.6031 -2.2058 -3.6221
Rh -8.9277 -4.8395 -6.4336
Mg -1.7889 -0.5785 -1.2932
Rh -10.4624 -5.5924 -10.3819
Mg -9.2714 -2.9231 -10.8194
Rh -8.3556 -2.4869 -8.2774
Rh -4.7100 -5.3112 -5.7266
Rh -7.7323 -2.2780 -5.3060
Mg -6.0050 -0.9735 -7.3184
Mg -8.0103 -5.2701 -9.2099
```

Symmetry = No. 227
DFT formation energy = -0.411 eV/atom


[10]
Entry from Alexandria via LeMat-Bulk: a relaxed structure of Mg2Rh (PBE).

```
9
Lattice="7.5187 0.0000 0.0000 -3.7594 6.5114 0.0000 0.0000 0.0000 3.1542" Properties=species:S:1:pos:R:3 pbc="T T T"
Mg 1.4551 2.5202 1.5771
Rh 0.0000 0.0000 1.5771
Mg -2.3043 3.9912 1.5771
Mg -1.0533 1.8243 0.0000
Mg 4.6086 0.0000 1.5771
Rh 0.0000 4.3409 0.0000
Rh 3.7594 2.1705 0.0000
Mg 2.1065 0.0000 0.0000
Mg 2.7061 4.6871 0.0000
```

Symmetry = No. 189
DFT formation energy = -0.398 eV/atom


[11]
Entry from Alexandria via LeMat-Bulk: a relaxed structure of Mg2Rh (PBE).

```
6
Lattice="1.5553 -7.1450 0.0000 1.5553 7.1450 0.0000 0.0000 0.0000 4.8464" Properties=species:S:1:pos:R:3 pbc="T T T"
Mg 1.5553 -1.8371 3.6348
Rh 1.5553 3.2221 3.6348
Mg 1.5553 -6.0827 3.6348
Mg 1.5553 1.8371 1.2116
Mg 1.5553 6.0827 1.2116
Rh 1.5553 -3.2221 1.2116
```

Symmetry = No. 63
DFT formation energy = -0.187 eV/atom


[12]
Entry from Alexandria via LeMat-Bulk: a relaxed structure of Mg5Rh (PBE).

```
6
Lattice="-2.6307 4.3411 4.1309 -0.9041 -2.6362 -5.9214 -2.4054 -3.1355 1.7632" Properties=species:S:1:pos:R:3 pbc="T T T"
Rh -2.5827 4.1472 3.8515
Mg -3.5167 1.4934 3.1683
Mg -1.9839 1.7273 0.3651
Mg -1.4550 -0.4099 -2.7139
Mg -2.3276 -3.3115 -3.7541
Mg -2.9221 -0.9092 -0.2931
```

ΔE to the lowest computed polymorph = 32 meV per atom
Symmetry = No. 65
DFT formation energy = -0.189 eV/atom